# 1
A plane-wave DFT calculation with PBE was carried out for crystalline SmTl3Br6 at its relaxed geometry.

Output
- Volume: 38.7 Å³/atom
- Magnetization: 0.000 μB per formula unit
- Uncorrected formation energy: -1.284 eV/atom

a = 7.835 Å, b = 8.667 Å, c = 13.463 Å
α = 90.00°, β = 122.08°, γ = 90.00°
Sites, in units of the cell vectors:
Sm: 0.000 0.000 0.000
Sm: 0.000 0.500 0.500
Tl: 0.299 0.079 0.770
Tl: 0.299 0.421 0.270
Tl: 0.500 0.000 0.500
Tl: 0.500 0.500 0.000
Tl: 0.701 0.579 0.730
Tl: 0.701 0.921 0.230
Br: 0.095 0.065 0.233
Br: 0.095 0.435 0.733
Br: 0.242 0.724 0.082
Br: 0.242 0.776 0.582
Br: 0.350 0.168 0.046
Br: 0.350 0.332 0.546
Br: 0.650 0.668 0.454
Br: 0.650 0.832 0.954
Br: 0.758 0.224 0.418
Br: 0.758 0.276 0.918
Br: 0.905 0.565 0.267
Br: 0.905 0.935 0.767

---

# 2
A plane-wave DFT calculation with PBE was carried out for crystalline RbCeCd10 at its relaxed geometry.

Output
- Volume: 26.2 Å³/atom
- Magnetization: 1.203 μB per formula unit
- Formation enthalpy at 0 K: -0.075 eV per atom

a = 4.851 Å, b = 6.144 Å, c = 10.529 Å
α = 90.00°, β = 90.00°, γ = 90.00°
Sites, in units of the cell vectors:
Rb: 0.000 0.000 0.000
Ce: 0.000 0.500 0.500
Cd: 0.000 0.000 0.336
Cd: 0.000 0.000 0.664
Cd: 0.000 0.500 0.170
Cd: 0.000 0.500 0.830
Cd: 0.500 0.000 0.500
Cd: 0.500 0.266 0.273
Cd: 0.500 0.266 0.727
Cd: 0.500 0.500 0.000
Cd: 0.500 0.734 0.273
Cd: 0.500 0.734 0.727

---

# 3
A plane-wave DFT calculation with PBE was carried out for crystalline Cs4LiSn3Br12 at its relaxed geometry.

Output
- Volume: 37.8 Å³/atom
- Magnetization: 0.000 μB per formula unit
- Uncorrected formation energy: -1.261 eV/atom

a = 9.938 Å, b = 9.938 Å, c = 9.938 Å
α = 109.47°, β = 109.47°, γ = 109.47°
Sites, in units of the cell vectors:
Cs: 0.000 0.000 0.500
Cs: 0.000 0.500 0.000
Cs: 0.500 0.000 0.000
Cs: 0.500 0.500 0.500
Li: 0.000 0.000 0.000
Sn: 0.000 0.500 0.500
Sn: 0.500 0.000 0.500
Sn: 0.500 0.500 0.000
Br: 0.000 0.249 0.249
Br: 0.000 0.751 0.751
Br: 0.249 0.000 0.249
Br: 0.249 0.249 0.000
Br: 0.250 0.500 0.750
Br: 0.250 0.750 0.500
Br: 0.500 0.250 0.750
Br: 0.500 0.750 0.250
Br: 0.750 0.250 0.500
Br: 0.750 0.500 0.250
Br: 0.751 0.000 0.751
Br: 0.751 0.751 0.000

---

# 4
A plane-wave DFT calculation with PBE was carried out for crystalline SrBe2AgF8 at its relaxed geometry.

Output
- Volume: 14.3 Å³/atom
- Magnetization: 1.071 μB per formula unit
- Uncorrected formation energy: -2.880 eV/atom

a = 4.865 Å, b = 4.865 Å, c = 7.818 Å
α = 94.03°, β = 94.03°, γ = 68.92°
Sites, in units of the cell vectors:
Sr: 0.000 0.000 0.000
Be: 0.373 0.373 0.741
Be: 0.627 0.627 0.259
Ag: 0.000 0.000 0.500
F: 0.244 0.718 0.740
F: 0.256 0.256 0.568
F: 0.282 0.756 0.260
F: 0.287 0.287 0.912
F: 0.713 0.713 0.088
F: 0.718 0.244 0.740
F: 0.744 0.744 0.432
F: 0.756 0.282 0.260

---

Table of theoretical density (g/cm³), in record order: 5.33; 7.14; 4.07; 3.53